Record 1
DFT (PBE) results for crystalline NaSmPaO4 at its relaxed geometry.

Summary:
N(E_F)   0.459 states/eV per atom
SG   Imma

Lattice parameters (Å, degrees): 7.1358 7.0909 7.0251 119.69 90.00 120.21
Last column: nearest neighbours and their distance in Å.
Sites, in units of the cell vectors:
O 0.6916 0.9419 0.7210  1 Pa 2.23, 2 Sm 2.38, 1 Na 2.45
O 0.2503 0.9419 0.7210  1 Pa 2.23, 2 Sm 2.38, 1 Na 2.45
Sm 0.5000 0.0000 0.5000  6 O 2.38-2.39
O 0.2639 0.5277 0.7209  2 Pa 2.31, 1 Sm 2.39, 1 Na 2.55
Sm 0.5000 0.0000 0.0000  6 O 2.38-2.39
Na 0.1135 0.2271 0.8635  4 O 2.45-2.55
Pa 0.0000 0.5000 0.5000  6 O 2.23-2.31
Pa 0.5000 0.5000 0.5000  6 O 2.23-2.31
O 0.7361 0.4723 0.2791  2 Pa 2.31, 1 Sm 2.39, 1 Na 2.55
O 0.2639 0.5277 0.3068  2 Pa 2.31, 1 Sm 2.39, 1 Na 2.55
O 0.7361 0.4723 0.6932  2 Pa 2.31, 1 Sm 2.39, 1 Na 2.55
O 0.3084 0.0581 0.2790  1 Pa 2.23, 2 Sm 2.38, 1 Na 2.45
O 0.7497 0.0581 0.2790  1 Pa 2.23, 2 Sm 2.38, 1 Na 2.45
Na 0.8865 0.7729 0.1365  4 O 2.45-2.55


Record 2
DFT (PBE) results for crystalline La2SiMo at its relaxed geometry.

Summary:
N(E_F)   1.042 states/eV per atom
SG   Cmmm

Lattice parameters (Å, degrees): 3.4308 3.4308 8.4831 90.00 90.00 95.04
Last column: nearest neighbours and their distance in Å.
Sites, in units of the cell vectors:
La 0.0000 0.0000 0.4962  4 Mo 3.12-3.28, 4 Si 3.16-3.32, 4 La 3.43
La 0.0000 0.0000 0.0038  4 Mo 3.12-3.28, 4 Si 3.16-3.32, 4 La 3.43
Si 0.5000 0.5000 0.7500  8 La 3.16-3.32, 4 Si 3.43
Mo 0.5000 0.5000 0.2500  8 La 3.12-3.28, 4 Mo 3.43


| no. | E_form (uncorrected) (eV/atom) | ρ (Mg/m³) |
| --- | --- | --- |
| 1 | -2.972 | 6.2 |
| 2 | 0.245 | 6.7 |